BeAlAg3: relaxed, GGA-PBE.

Cell: 4.8053 4.8053 4.8053 Å, 90.00 90.00 90.00°
Fractional coordinates of all 5 atoms:
Be 0.0000 0.0000 0.0000
Al 0.5000 0.5000 0.5000
Ag 0.0000 0.5000 0.5000
Ag 0.5000 0.0000 0.5000
Ag 0.5000 0.5000 0.0000

Calculated values
ΔE to the lowest computed polymorph, kJ per mole of atoms: 51.46
SG: Pm-3m (221)
Total magnetic moment, μB/cell: 0.000
ΔE_f, kJ/mol of formula units: 456


BeAl2Ag: relaxed, GGA-PBE.

Cell: 4.8146 4.8146 4.8146 Å, 132.05 132.05 70.15°
Fractional coordinates of all 4 atoms:
Be 0.0000 0.0000 0.0000
Al 0.5000 0.5000 0.0000
Al 0.7500 0.2500 0.5000
Ag 0.2500 0.7500 0.5000

Calculated values
SG: I-4m2 (119)
Total magnetic moment, μB/cell: 0.000
ΔE_f, kJ/mol of formula units: 74


BeAl4Ag: relaxed, GGA-PBE.

Cell: 5.2543 5.2543 5.2543 Å, 60.00 60.00 60.00°
Fractional coordinates of all 6 atoms:
Be 0.0000 0.0000 0.0000
Al 0.3745 0.3745 0.3745
Al 0.3745 0.3745 0.8764
Al 0.3745 0.8764 0.3745
Al 0.8764 0.3745 0.3745
Ag 0.7500 0.7500 0.7500

Calculated values
SG: F-43m (216)
Total magnetic moment, μB/cell: 0.000
ΔE_f, kJ/mol of formula units: 252


BeAl2Ag: relaxed, GGA-PBE.

Cell: 4.7948 4.7948 4.7948 Å, 131.68 131.68 70.73°
Fractional coordinates of all 4 atoms:
Be 0.0000 0.0000 0.0000
Al 0.2500 0.7500 0.5000
Al 0.7500 0.2500 0.5000
Ag 0.5000 0.5000 0.0000

Calculated values
SG: I4/mmm (139)
Total magnetic moment, μB/cell: 0.000
ΔE_f, kJ/mol of formula units: 73


Be4AlAg: relaxed, GGA-PBE.

Cell: 4.4883 4.4883 4.4883 Å, 60.00 60.00 60.00°
Fractional coordinates of all 6 atoms:
Be 0.3761 0.3761 0.3761
Be 0.3761 0.3761 0.8718
Be 0.3761 0.8718 0.3761
Be 0.8718 0.3761 0.3761
Al 0.7500 0.7500 0.7500
Ag 0.0000 0.0000 0.0000

Calculated values
SG: F-43m (216)
Total magnetic moment, μB/cell: 0.000
ΔE_f, kJ/mol of formula units: 22


BeAl2Ag: relaxed, GGA-PBE.

Cell: 3.9197 3.9197 3.9137 Å, 90.00 90.00 90.00°
Fractional coordinates of all 4 atoms:
Be 0.0000 0.0000 0.0000
Al 0.0000 0.5000 0.5000
Al 0.5000 0.0000 0.5000
Ag 0.5000 0.5000 0.0000

Calculated values
SG: P4/mmm (123)
Total magnetic moment, μB/cell: 0.000
ΔE_f, kJ/mol of formula units: 73


BeAl2Ag: relaxed, GGA-PBE.

Cell: 2.9237 4.5459 4.7646 Å, 90.00 97.24 90.00°
Fractional coordinates of all 4 atoms:
Be 0.0000 0.0000 0.0000
Al 0.2622 0.5000 0.2366
Al 0.7378 0.5000 0.7634
Ag 0.5000 0.0000 0.5000

Calculated values
SG: P2/m (10)
Total magnetic moment, μB/cell: 0.000
ΔE_f, kJ/mol of formula units: 89


BeAl2Ag: relaxed, GGA-PBE.

Cell: 5.8727 5.8727 5.8727 Å, 99.65 99.65 131.67°
Fractional coordinates of all 8 atoms:
Be 0.0000 0.0000 0.0000
Be 0.7500 0.2500 0.5000
Al 0.0476 0.6250 0.9226
Al 0.3750 0.2976 0.4226
Al 0.7024 0.1250 0.0774
Al 0.8750 0.9524 0.5774
Ag 0.2500 0.7500 0.5000
Ag 0.5000 0.5000 0.0000

Calculated values
SG: I-42d (122)
Total magnetic moment, μB/cell: 0.000
ΔE_f, kJ/mol of formula units: 158


BeAlAg4: relaxed, GGA-PBE.

Cell: 5.3959 5.3959 5.3959 Å, 60.00 60.00 60.00°
Fractional coordinates of all 6 atoms:
Be 0.0000 0.0000 0.0000
Al 0.7500 0.7500 0.7500
Ag 0.3749 0.3749 0.3749
Ag 0.3749 0.3749 0.8754
Ag 0.3749 0.8754 0.3749
Ag 0.8754 0.3749 0.3749

Calculated values
SG: F-43m (216)
Total magnetic moment, μB/cell: 0.000
ΔE_f, kJ/mol of formula units: 267


BeAl2Ag: relaxed, GGA-PBE.

Cell: 2.7553 2.7553 7.9138 Å, 90.00 90.00 90.00°
Fractional coordinates of all 4 atoms:
Be 0.0000 0.0000 0.0000
Al 0.5000 0.5000 0.2205
Al 0.5000 0.5000 0.7795
Ag 0.0000 0.0000 0.5000

Calculated values
SG: P4/mmm (123)
Total magnetic moment, μB/cell: 0.000
ΔE_f, kJ/mol of formula units: 53


BeAl2Ag: relaxed, GGA-PBE.

Cell: 2.8390 3.7560 5.6027 Å, 90.00 90.00 90.00°
Fractional coordinates of all 4 atoms:
Be 0.0000 0.0000 0.0000
Al 0.5000 0.5000 0.2279
Al 0.5000 0.5000 0.7721
Ag 0.0000 0.0000 0.5000

Calculated values
SG: Pmmm (47)
Total magnetic moment, μB/cell: 0.000
ΔE_f, kJ/mol of formula units: 60


BeAl2Ag: relaxed, GGA-PBE.

Cell: 2.8281 3.7564 5.6229 Å, 90.00 90.00 90.00°
Fractional coordinates of all 4 atoms:
Be 0.0000 0.0000 0.0000
Al 0.0000 0.0000 0.5347
Al 0.5000 0.5000 0.7966
Ag 0.5000 0.5000 0.2615

Calculated values
SG: Pmm2 (25)
Total magnetic moment, μB/cell: 0.000
ΔE_f, kJ/mol of formula units: 54